Record 1
Here is a geometry-optimized NaI2N structure from Alexandria. Energies are from PBE-GGA.

Cell: 7.352 7.352 7.345 Å, 59.97 59.97 90.00°
Atoms (fractional coordinates):
Na 0.750 0.250 0.500
Na 0.000 0.000 0.000
I 0.375 0.125 0.250
I 0.875 0.625 0.750
I 0.375 0.625 0.250
I 0.375 0.625 0.750
N 0.500 0.500 0.000
N 0.250 0.750 0.500

## Properties
Energy above the lowest structure with this stoichiometry ... 0 meV/atom
Raw formation energy ... 0.3726 eV per atom
Density of states at the Fermi level ... 0.0 states/eV/cell
SG ... I4_1/amd, No. 141
E ... -2.8136 eV per atom

Record 2
Here is a geometry-optimized NaI2N2 structure from Alexandria. Energies are from PBE-GGA.

Cell: 5.662 4.633 17.420 Å, 130.63 90.00 127.67°
Atoms (fractional coordinates):
I 0.324 0.647 0.855
I 0.676 0.353 0.145
Na 0.000 0.000 0.000
N 0.873 0.745 0.465
N 0.127 0.255 0.535

## Properties
Energy above the lowest structure with this stoichiometry ... 0 meV/atom
Raw formation energy ... -0.3708 eV per atom
SG ... C2/m, No. 12
E ... -4.5848 eV per atom

Record 3
Here is a geometry-optimized Na2IN2 structure from Alexandria. Energies are from PBE-GGA.

Cell: 5.155 5.155 5.512 Å, 62.12 62.12 90.00°
Atoms (fractional coordinates):
Na 0.750 0.250 0.500
Na 0.250 0.750 0.500
N 0.571 0.571 0.859
N 0.429 0.429 0.141
I 0.000 0.000 0.000

## Properties
Energy above the lowest structure with this stoichiometry ... 77 meV/atom
Raw formation energy ... -0.4051 eV per atom
Density of states at the Fermi level ... 2.9 states/eV/cell
SG ... I4/mmm, No. 139
E ... -4.5729 eV per atom

Record 4
Here is a geometry-optimized NaIN3 structure from Alexandria. Energies are from PBE-GGA.

Cell: 4.494 4.494 4.494 Å, 90.00 90.00 90.00°
Atoms (fractional coordinates):
Na 0.000 0.000 0.000
N 0.000 0.000 0.500
N 0.500 0.000 0.000
N 0.000 0.500 0.000
I 0.500 0.500 0.500

## Properties
Raw formation energy ... 2.7020 eV per atom
Density of states at the Fermi level ... 5.4 states/eV/cell
SG ... Pm-3m, No. 221
E ... -2.8671 eV per atom

Record 5
Here is a geometry-optimized Na2I3N2 structure from Alexandria. Energies are from PBE-GGA.

Cell: 4.590 16.624 8.486 Å, 53.44 89.99 133.65°
Atoms (fractional coordinates):
I 0.586 0.434 0.241
I 0.500 0.000 0.000
I 0.414 0.566 0.759
Na 0.158 0.663 0.319
Na 0.842 0.337 0.681
N 0.674 0.670 0.409
N 0.326 0.330 0.591

## Properties
Raw formation energy ... 0.2932 eV per atom
Density of states at the Fermi level ... 4.6 states/eV/cell
SG ... C2/m, No. 12
E ... -3.1267 eV per atom

Record 6
Here is a geometry-optimized NaI2N2 structure from Alexandria. Energies are from PBE-GGA.

Cell: 4.800 4.800 6.770 Å, 90.00 90.00 90.00°
Atoms (fractional coordinates):
Na 0.000 0.000 0.000
N 0.000 0.500 0.000
N 0.500 0.000 0.000
I 0.000 0.000 0.500
I 0.500 0.500 0.500

## Properties
Energy above the lowest structure with this stoichiometry ... 2036 meV/atom
Raw formation energy ... 1.6653 eV per atom
Density of states at the Fermi level ... 3.6 states/eV/cell
SG ... P4/mmm, No. 123
E ... -2.5487 eV per atom

Record 7
Here is a geometry-optimized Na2IN2 structure from Alexandria. Energies are from PBE-GGA.

Cell: 6.354 6.354 3.776 Å, 90.00 90.00 90.00°
Atoms (fractional coordinates):
Na 0.639 0.861 0.500
Na 0.861 0.361 0.500
Na 0.361 0.139 0.500
Na 0.139 0.639 0.500
N 0.320 0.820 0.000
N 0.680 0.180 0.000
N 0.180 0.320 0.000
N 0.820 0.680 0.000
I 0.000 0.000 0.000
I 0.500 0.500 0.000

## Properties
Energy above the lowest structure with this stoichiometry ... 1351 meV/atom
Raw formation energy ... 0.8688 eV per atom
Density of states at the Fermi level ... 4.7 states/eV/cell
SG ... P4/mbm, No. 127
E ... -3.2990 eV per atom

Record 8
Here is a geometry-optimized NaIN4 structure from Alexandria. Energies are from PBE-GGA.

Cell: 4.402 4.402 22.197 Å, 95.69 95.69 90.00°
Atoms (fractional coordinates):
N 0.864 0.292 0.427
N 0.063 0.135 0.427
N 0.365 0.636 0.073
N 0.136 0.708 0.573
N 0.937 0.865 0.573
N 0.792 0.563 0.927
N 0.208 0.437 0.073
N 0.635 0.364 0.927
I 0.875 0.625 0.250
I 0.125 0.375 0.750
Na 0.375 0.125 0.250
Na 0.625 0.875 0.750

## Properties
Raw formation energy ... -0.3792 eV per atom
Density of states at the Fermi level ... 0.0 states/eV/cell
SG ... I4_1/a, No. 88
E ... -6.4076 eV per atom

Record 9
Here is a geometry-optimized NaIN2 structure from Alexandria. Energies are from PBE-GGA.

Cell: 6.565 6.565 6.565 Å, 34.41 34.41 34.41°
Atoms (fractional coordinates):
N 0.894 0.894 0.894
N 0.106 0.106 0.106
Na 0.500 0.500 0.500
I 0.000 0.000 0.000

## Properties
Energy above the lowest structure with this stoichiometry ... 220 meV/atom
Raw formation energy ... 1.4563 eV per atom
Density of states at the Fermi level ... 1.8 states/eV/cell
SG ... R-3m, No. 166
E ... -3.4236 eV per atom

Record 10
Here is a geometry-optimized NaIN structure from Alexandria. Energies are from PBE-GGA.

Cell: 5.519 5.736 10.849 Å, 105.33 74.66 90.00°
Atoms (fractional coordinates):
N 0.600 0.501 0.002
N 0.400 0.499 0.998
Na 0.244 0.756 0.512
Na 0.756 0.244 0.488
I 0.818 0.685 0.370
I 0.182 0.315 0.630

## Properties
Energy above the lowest structure with this stoichiometry ... 0 meV/atom
Raw formation energy ... -0.7750 eV per atom
Density of states at the Fermi level ... 0.0 states/eV/cell
SG ... C2/m, No. 12
E ... -4.5065 eV per atom

Record 11
Here is a geometry-optimized Na2IN2 structure from Alexandria. Energies are from PBE-GGA.

Cell: 4.200 4.569 7.415 Å, 68.65 73.55 62.64°
Atoms (fractional coordinates):
Na 0.245 0.230 0.281
Na 0.755 0.770 0.719
I 0.000 0.000 0.000
N 0.423 0.624 0.529
N 0.577 0.376 0.471

## Properties
Energy above the lowest structure with this stoichiometry ... 0 meV/atom
Raw formation energy ... -0.4825 eV per atom
Density of states at the Fermi level ... 2.2 states/eV/cell
SG ... C2/m, No. 12
E ... -4.6502 eV per atom

Record 12
Here is a geometry-optimized NaI2N2 structure from Alexandria. Energies are from PBE-GGA.

Cell: 6.021 6.021 5.256 Å, 90.00 90.00 90.00°
Atoms (fractional coordinates):
N 0.000 0.000 0.500
N 0.500 0.500 0.500
I 0.500 0.000 0.000
I 0.000 0.500 0.000
Na 0.000 0.000 0.000

## Properties
Energy above the lowest structure with this stoichiometry ... 2148 meV/atom
Raw formation energy ... 1.7768 eV per atom
Density of states at the Fermi level ... 3.6 states/eV/cell
SG ... P4/mmm, No. 123
E ... -2.4372 eV per atom

Record 13
Here is a geometry-optimized NaI3N structure from Alexandria. Energies are from PBE-GGA.

Cell: 6.124 6.124 6.124 Å, 90.00 90.00 90.00°
Atoms (fractional coordinates):
I 0.500 0.000 0.000
I 0.000 0.000 0.500
I 0.000 0.500 0.000
N 0.500 0.500 0.500
Na 0.000 0.000 0.000

## Properties
Energy above the lowest structure with this stoichiometry ... 530 meV/atom
Raw formation energy ... 0.9116 eV per atom
Density of states at the Fermi level ... 9.1 states/eV/cell
SG ... Pm-3m, No. 221
E ... -1.9474 eV per atom

Record 14
Here is a geometry-optimized NaI2N structure from Alexandria. Energies are from PBE-GGA.

Cell: 5.506 5.506 5.506 Å, 60.00 60.00 60.00°
Atoms (fractional coordinates):
I 0.250 0.250 0.250
I 0.750 0.750 0.750
N 0.000 0.000 0.000
Na 0.500 0.500 0.500

## Properties
Energy above the lowest structure with this stoichiometry ... 464 meV/atom
Raw formation energy ... 0.8366 eV per atom
Density of states at the Fermi level ... 4.7 states/eV/cell
SG ... Fm-3m, No. 225
E ... -2.3496 eV per atom

Record 15
Here is a geometry-optimized NaIN2 structure from Alexandria. Energies are from PBE-GGA.

Cell: 5.249 5.249 6.574 Å, 66.47 66.47 90.00°
Atoms (fractional coordinates):
I 0.750 0.250 0.500
I 0.000 0.000 0.000
N 0.691 0.125 0.250
N 0.875 0.941 0.750
N 0.375 0.309 0.750
N 0.059 0.625 0.250
Na 0.250 0.750 0.500
Na 0.500 0.500 0.000

## Properties
Energy above the lowest structure with this stoichiometry ... 0 meV/atom
Raw formation energy ... 1.2359 eV per atom
Density of states at the Fermi level ... 1.0 states/eV/cell
SG ... I-42d, No. 122
E ... -3.6440 eV per atom

Record 16
Here is a geometry-optimized Na4I5N2 structure from Alexandria. Energies are from PBE-GGA.

Cell: 3.988 9.405 12.314 Å, 114.28 99.37 102.18°
Atoms (fractional coordinates):
I 0.778 0.917 0.636
I 0.222 0.083 0.364
I 0.382 0.584 0.176
I 0.618 0.416 0.824
I 0.500 0.000 0.000
Na 0.911 0.230 0.596
Na 0.928 0.782 0.073
Na 0.072 0.218 0.927
Na 0.089 0.770 0.404
N 0.991 0.460 0.523
N 0.009 0.540 0.477

## Properties
Raw formation energy ... -0.8122 eV per atom
Density of states at the Fermi level ... 4.4 states/eV/cell
SG ... P-1, No. 2
E ... -3.5102 eV per atom

Record 17
Here is a geometry-optimized NaIN2 structure from Alexandria. Energies are from PBE-GGA.

Cell: 4.216 4.216 4.216 Å, 60.00 60.00 60.00°
Atoms (fractional coordinates):
N 0.750 0.750 0.750
N 0.250 0.250 0.250
I 0.500 0.500 0.500
Na 0.000 0.000 0.000

## Properties
Energy above the lowest structure with this stoichiometry ... 456 meV/atom
Raw formation energy ... 1.6916 eV per atom
Density of states at the Fermi level ... 1.6 states/eV/cell
SG ... Fm-3m, No. 225
E ... -3.1884 eV per atom

Record 18
Here is a geometry-optimized Na2IN2 structure from Alexandria. Energies are from PBE-GGA.

Cell: 3.296 3.296 8.757 Å, 79.15 79.15 90.00°
Atoms (fractional coordinates):
N 0.750 0.250 0.500
N 0.250 0.750 0.500
Na 0.646 0.646 0.709
Na 0.354 0.354 0.291
I 0.000 0.000 0.000

## Properties
Energy above the lowest structure with this stoichiometry ... 1461 meV/atom
Raw formation energy ... 0.9785 eV per atom
Density of states at the Fermi level ... 1.9 states/eV/cell
SG ... I4/mmm, No. 139
E ... -3.1893 eV per atom

Record 19
Here is a geometry-optimized NaIN3 structure from Alexandria. Energies are from PBE-GGA.

Cell: 4.002 4.002 4.002 Å, 90.00 90.00 90.00°
Atoms (fractional coordinates):
I 0.000 0.000 0.000
Na 0.500 0.500 0.500
N 0.000 0.000 0.500
N 0.000 0.500 0.000
N 0.500 0.000 0.000

## Properties
Raw formation energy ... 1.8341 eV per atom
Density of states at the Fermi level ... 2.6 states/eV/cell
SG ... Pm-3m, No. 221
E ... -3.7350 eV per atom

Record 20
Here is a geometry-optimized NaI3N2 structure from Alexandria. Energies are from PBE-GGA.

Cell: 7.221 18.087 5.021 Å, 75.64 44.19 90.38°
Atoms (fractional coordinates):
I 0.821 0.407 0.316
I 0.264 0.751 0.019
I 0.179 0.593 0.684
I 0.849 0.909 0.342
I 0.151 0.091 0.658
I 0.736 0.249 0.981
N 0.681 0.785 0.525
N 0.187 0.716 0.512
N 0.813 0.284 0.488
N 0.319 0.215 0.475
Na 0.261 0.250 0.982
Na 0.739 0.750 0.018

## Properties
Raw formation energy ... 0.6116 eV per atom
SG ... P-1, No. 2
E ... -3.1584 eV per atom

Record 21
Here is a geometry-optimized NaI3N structure from Alexandria. Energies are from PBE-GGA.

Cell: 5.170 5.170 5.170 Å, 90.00 90.00 90.00°
Atoms (fractional coordinates):
Na 0.500 0.500 0.500
I 0.500 0.000 0.000
I 0.000 0.000 0.500
I 0.000 0.500 0.000
N 0.000 0.000 0.000

## Properties
Energy above the lowest structure with this stoichiometry ... 0 meV/atom
Raw formation energy ... 0.3816 eV per atom
Density of states at the Fermi level ... 2.1 states/eV/cell
SG ... Pm-3m, No. 221
E ... -2.4773 eV per atom

Record 22
Here is a geometry-optimized NaI2N2 structure from Alexandria. Energies are from PBE-GGA.

Cell: 4.214 4.214 8.186 Å, 90.00 90.00 90.00°
Atoms (fractional coordinates):
Na 0.500 0.500 0.500
N 0.000 0.500 0.000
N 0.500 0.000 0.000
I 0.000 0.000 0.500
I 0.000 0.000 0.000

## Properties
Energy above the lowest structure with this stoichiometry ... 1565 meV/atom
Raw formation energy ... 1.1946 eV per atom
Density of states at the Fermi level ... 2.9 states/eV/cell
SG ... P4/mmm, No. 123
E ... -3.0194 eV per atom

Record 23
Here is a geometry-optimized NaIN structure from Alexandria. Energies are from PBE-GGA.

Cell: 4.737 8.328 4.748 Å, 90.00 89.99 124.46°
Atoms (fractional coordinates):
I 0.011 0.813 0.639
I 0.912 0.211 0.139
Na 0.522 0.320 0.639
Na 0.401 0.704 0.139
N 0.711 0.512 0.139
N 0.212 0.512 0.639

## Properties
Energy above the lowest structure with this stoichiometry ... 1611 meV/atom
Raw formation energy ... 0.8359 eV per atom
SG ... P2_1/m, No. 11
E ... -2.8956 eV per atom

Record 24
Here is a geometry-optimized NaNd4I7N2 structure from Alexandria. Energies are from PBE-GGA.

Cell: 11.296 12.074 14.846 Å, 90.00 90.00 90.00°
Atoms (fractional coordinates):
I 0.946 0.528 0.256
I 0.154 0.473 0.008
I 0.303 0.276 0.794
I 0.803 0.776 0.706
I 0.197 0.276 0.294
I 0.831 0.632 0.956
I 0.095 0.825 0.282
I 0.905 0.325 0.718
I 0.620 0.083 0.787
I 0.205 0.807 0.994
I 0.554 0.528 0.756
I 0.595 0.325 0.218
I 0.795 0.307 0.006
I 0.846 0.973 0.992
I 0.169 0.132 0.044
I 0.054 0.028 0.744
I 0.705 0.307 0.506
I 0.346 0.473 0.508
I 0.380 0.583 0.213
I 0.446 0.028 0.244
I 0.331 0.132 0.544
I 0.697 0.776 0.206
I 0.654 0.973 0.492
I 0.295 0.807 0.494
I 0.405 0.825 0.782
I 0.669 0.632 0.456
I 0.120 0.583 0.713
I 0.880 0.083 0.287
Nd 0.883 0.092 0.579
Nd 0.383 0.592 0.921
Nd 0.629 0.825 0.919
Nd 0.129 0.325 0.581
Nd 0.871 0.825 0.419
Nd 0.939 0.318 0.393
Nd 0.614 0.551 0.075
Nd 0.617 0.092 0.079
Nd 0.886 0.551 0.575
Nd 0.439 0.818 0.107
Nd 0.386 0.051 0.925
Nd 0.114 0.051 0.425
Nd 0.117 0.592 0.421
Nd 0.561 0.318 0.893
Nd 0.371 0.325 0.081
Nd 0.061 0.818 0.607
Na 0.452 0.273 0.395
Na 0.048 0.273 0.895
Na 0.548 0.773 0.605
Na 0.952 0.773 0.105
N 0.481 0.447 0.992
N 0.981 0.947 0.508
N 0.518 0.695 0.002
N 0.018 0.195 0.498
N 0.982 0.695 0.502
N 0.519 0.947 0.008
N 0.019 0.447 0.492
N 0.482 0.195 0.998

## Properties
Raw formation energy ... -1.4659 eV per atom
Density of states at the Fermi level ... 0.0 states/eV/cell
SG ... Pna2_1, No. 33
E ... -4.8867 eV per atom